A plane-wave DFT calculation with PBE was carried out for crystalline PtBr2 at its relaxed geometry.

Geometry as extended XYZ:
```
6
Lattice="9.304 0.191 0.103 8.522 3.739 0.103 7.008 1.545 6.408" Properties=species:S:1:pos:R:3 pbc="T T T"
Br 0.438 0.097 0.313
Br 7.289 1.607 3.416
Br 13.829 3.050 0.694
Br 20.680 4.560 3.797
Pt 16.275 3.589 5.171
Pt 11.850 2.613 5.347
```

Values from the calculation:
Total magnetic moment (μB/atom): 0.000
E_form (uncorrected) (eV per atom): -0.17
Space-group type: C2/m